Entry 1:
A plane-wave DFT calculation with GGA-PBE was carried out for a relaxed structure of TmLuCo2Ge2C.

Computed properties:
* symmetry: Cm (8)
* E_tot: -6.563 eV/atom

Lattice parameters (Å, degrees): 5.6444 5.6444 6.7213 125.23 125.23 40.01
Sites, in units of the cell vectors:
C  0.0008  0.0008  0.0021
Co  0.1936  0.1936  0.0841
Co  0.8068  0.8068  0.9164
Ge  0.8408  0.8408  0.3042
Ge  0.1587  0.1587  0.6944
Lu  0.5586  0.5586  0.2891
Tm  0.4409  0.4409  0.7097

---

Entry 2:
A plane-wave DFT calculation with GGA-PBE was carried out for a relaxed structure of YLuCo2Ge2C.

Computed properties:
* symmetry: Cm (8)
* E_tot: -6.849 eV/atom

Lattice parameters (Å, degrees): 5.6738 5.6738 6.7629 125.40 125.40 40.08
Sites, in units of the cell vectors:
C  0.0025  0.0025  0.0073
Co  0.1936  0.1936  0.0846
Co  0.8080  0.8080  0.9174
Ge  0.8387  0.8387  0.2994
Ge  0.1595  0.1595  0.6961
Lu  0.5578  0.5578  0.2887
Y  0.4398  0.4398  0.7065

---

Entry 3:
A plane-wave DFT calculation with GGA-PBE was carried out for a relaxed structure of CoGeMo4C2.

Computed properties:
* symmetry: P-6m2 (187)
* E_tot: -9.124 eV/atom

Lattice parameters (Å, degrees): 3.0838 3.0838 12.6110 90.00 90.00 120.00
Sites, in units of the cell vectors:
C  0.3333  0.6667  0.2449
C  0.3333  0.6667  0.7551
Co  0.0000  0.0000  0.0000
Ge  0.6667  0.3333  0.5000
Mo  0.6667  0.3333  0.1525
Mo  0.0000  0.0000  0.3363
Mo  0.0000  0.0000  0.6637
Mo  0.6667  0.3333  0.8475

---

Entry 4:
A plane-wave DFT calculation with GGA-PBE was carried out for a relaxed structure of Nb4CoGeC2.

Computed properties:
* symmetry: P-6m2 (187)
* E_tot: -9.159 eV/atom

Lattice parameters (Å, degrees): 3.1560 3.1560 12.9371 90.00 90.00 120.00
Site moments in Bohr magnetons follow the coordinates.
Sites, in units of the cell vectors:
C  0.6667  0.3333  0.2569  0.00
C  0.6667  0.3333  0.7431  0.00
Co  0.0000  0.0000  0.5000  0.55
Ge  0.3333  0.6667  0.0000  0.00
Nb  0.0000  0.0000  0.1602  0.00
Nb  0.3333  0.6667  0.3522  -0.02
Nb  0.3333  0.6667  0.6478  -0.03
Nb  0.0000  0.0000  0.8398  0.00